Record 1
{
  "formula": "UBr3F",
  "functional": "PBE",
  "state": "relaxed",
  "lattice_angstrom": [[5.643, -4.455, 0.000], [5.643, 4.455, 0.000], [-5.331, 0.000, 6.633]],
  "species": ["U", "U", "Br", "Br", "Br", "Br", "Br", "Br", "F", "F"],
  "frac_coords": [[0.170, 0.170, 0.438], [0.830, 0.830, 0.562], [0.167, 0.167, 0.768], [0.246, 0.631, 0.685], [0.369, 0.754, 0.315], [0.631, 0.246, 0.685], [0.754, 0.369, 0.315], [0.833, 0.833, 0.232], [0.175, 0.175, 0.205], [0.825, 0.825, 0.795]],
  "raw_formation_energy_kcal_per_mol_atoms": -42.93,
  "magmom_total_mub_per_atom": 0.400,
  "relative_energy_mev_per_atom": 0.0
}

Record 2
{
  "formula": "Pr2Dy5Th",
  "functional": "PBE",
  "state": "relaxed",
  "lattice_angstrom": [[6.833, 0.000, 0.000], [-1.928, 6.992, 0.000], [-0.060, -1.983, 11.075]],
  "species": ["Pr", "Pr", "Pr", "Pr", "Dy", "Dy", "Dy", "Dy", "Dy", "Dy", "Dy", "Dy", "Dy", "Dy", "Th", "Th"],
  "frac_coords": [[0.102, 0.245, 0.351], [0.351, 0.116, 0.603], [0.649, 0.884, 0.397], [0.898, 0.755, 0.649], [0.108, 0.736, 0.351], [0.143, 0.138, 0.900], [0.357, 0.615, 0.610], [0.391, 0.507, 0.140], [0.401, 0.010, 0.143], [0.599, 0.990, 0.857], [0.609, 0.493, 0.860], [0.643, 0.385, 0.390], [0.857, 0.862, 0.100], [0.892, 0.264, 0.649], [0.146, 0.631, 0.897], [0.854, 0.369, 0.103]],
  "formation_enthalpy_0k_ev_per_atom": 0.03,
  "magmom_total_mub_per_atom": 0.000
}

Record 3
{
  "formula": "KNaP2H2O7",
  "functional": "PBE",
  "state": "relaxed",
  "lattice_angstrom": [[8.045, 0.000, 0.000], [-0.012, 8.078, 0.000], [-1.094, -3.249, 10.885]],
  "species": ["K", "K", "K", "K", "Na", "Na", "Na", "Na", "P", "P", "P", "P", "P", "P", "P", "P", "H", "H", "H", "H", "H", "H", "H", "H", "O", "O", "O", "O", "O", "O", "O", "O", "O", "O", "O", "O", "O", "O", "O", "O", "O", "O", "O", "O", "O", "O", "O", "O", "O", "O", "O", "O"],
  "frac_coords": [[0.167, 0.237, 0.434], [0.280, 0.349, 0.065], [0.720, 0.651, 0.935], [0.833, 0.763, 0.566], [0.170, 0.850, 0.921], [0.374, 0.789, 0.425], [0.626, 0.211, 0.575], [0.830, 0.150, 0.079], [0.007, 0.530, 0.291], [0.049, 0.841, 0.207], [0.284, 0.070, 0.710], [0.353, 0.446, 0.785], [0.647, 0.554, 0.215], [0.716, 0.930, 0.290], [0.951, 0.159, 0.793], [0.993, 0.470, 0.709], [0.307, 0.992, 0.158], [0.452, 0.785, 0.663], [0.476, 0.032, 0.117], [0.496, 0.404, 0.376], [0.504, 0.596, 0.624], [0.524, 0.968, 0.883], [0.548, 0.215, 0.337], [0.693, 0.008, 0.842], [0.011, 0.131, 0.914], [0.030, 0.633, 0.189], [0.033, 0.344, 0.228], [0.081, 0.079, 0.690], [0.104, 0.619, 0.411], [0.191, 0.441, 0.686], [0.219, 0.907, 0.270], [0.329, 0.936, 0.775], [0.335, 0.257, 0.810], [0.336, 0.578, 0.905], [0.347, 0.059, 0.589], [0.355, 0.027, 0.091], [0.494, 0.298, 0.402], [0.495, 0.552, 0.281], [0.505, 0.448, 0.719], [0.506, 0.702, 0.598], [0.645, 0.973, 0.909], [0.653, 0.941, 0.411], [0.664, 0.422, 0.095], [0.665, 0.743, 0.190], [0.671, 0.064, 0.225], [0.781, 0.093, 0.730], [0.809, 0.559, 0.314], [0.896, 0.381, 0.589], [0.919, 0.921, 0.310], [0.967, 0.656, 0.772], [0.970, 0.367, 0.811], [0.989, 0.869, 0.086]],
  "final_energy_ev_per_atom": -6.177,
  "magmom_total_mub_per_atom": 0.000
}

Record 4
{
  "formula": "Ag2Br",
  "functional": "PBE",
  "state": "relaxed",
  "lattice_angstrom": [[6.192, -3.084, 0.000], [6.192, 3.084, 0.000], [0.000, 0.000, 3.662]],
  "species": ["Ag", "Ag", "Ag", "Ag", "Br", "Br"],
  "frac_coords": [[0.021, 0.640, 0.750], [0.360, 0.979, 0.750], [0.640, 0.021, 0.250], [0.979, 0.360, 0.250], [0.254, 0.746, 0.250], [0.746, 0.254, 0.750]],
  "raw_formation_energy_kcal_per_mol_atoms": 1.25,
  "magmom_total_mub_per_atom": 0.000,
  "relative_energy_mev_per_atom": 213.1
}

Record 5
{
  "formula": "Rb2LaBiB",
  "functional": "PBE",
  "state": "relaxed",
  "lattice_angstrom": [[5.737, 0.000, 0.000], [0.000, 5.737, 0.000], [0.000, 0.000, 5.576]],
  "species": ["Rb", "Rb", "La", "Bi", "B"],
  "frac_coords": [[0.000, 0.500, 0.000], [0.500, 0.000, 0.000], [0.000, 0.000, 0.500], [0.500, 0.500, 0.500], [0.500, 0.500, 0.000]],
  "formation_enthalpy_0k_ev_per_atom": 0.92,
  "magmom_total_mub_per_atom": 0.143
}

Record 6
{
  "formula": "Ac2Pr4Nd3",
  "functional": "PBE",
  "state": "relaxed",
  "lattice_angstrom": [[3.773, 0.000, 0.000], [-1.886, 3.267, 0.000], [0.000, 0.000, 28.031]],
  "species": ["Ac", "Ac", "Pr", "Pr", "Pr", "Pr", "Nd", "Nd", "Nd"],
  "frac_coords": [[0.000, 0.000, 0.000], [0.000, 0.000, 0.224], [0.000, 0.000, 0.354], [0.000, 0.000, 0.566], [0.333, 0.667, 0.673], [0.333, 0.667, 0.886], [0.000, 0.000, 0.780], [0.333, 0.667, 0.114], [0.333, 0.667, 0.457]],
  "formation_enthalpy_0k_ev_per_atom": 0.07,
  "magmom_total_mub_per_atom": 0.000,
  "relative_energy_mev_per_atom": 0.0
}

no.,D(E_F) (states/eV per atom),mass density (Mg/m³)
1,0.34,4.95
2,1.69,8.33
3,0.00,2.24
4,0.16,7.02
5,0.83,4.79
6,1.87,6.97